Material: PrTm7Hg4
Method: DFT, PBE
State: relaxed

Properties
DOS(E_F): 0.98 states/eV/atom
Total magnetization: 0.0 Bohr magnetons per cell
Theoretical density: 10579 kg/m³
Energy of formation from the pure elements: -89 meV/atom
Calculated volume: 334 Å³/cell

a = 5.651 Å, b = 8.880 Å, c = 7.783 Å
α = 70.14°, β = 68.72°, γ = 71.45°
Positions (direct):
Pr 0.000 0.000 0.000
Tm 0.792 0.882 0.533
Tm 0.208 0.118 0.467
Tm 0.067 0.593 0.273
Tm 0.933 0.407 0.727
Tm 0.269 0.682 0.780
Tm 0.500 0.000 0.000
Tm 0.731 0.318 0.220
Hg 0.546 0.275 0.632
Hg 0.454 0.725 0.368
Hg 0.690 0.664 0.957
Hg 0.310 0.336 0.043

=====

Material: TeP2AuCl
Method: DFT, PBE
State: relaxed

Properties
Formation energy (no corrections): 0.72 eV/atom
DOS(E_F): 0.80 states/eV/atom
Total magnetization: 0.0 Bohr magnetons per cell
Theoretical density: 6019 kg/m³
Distance to the lowest polymorph of the same formula: 0.000 eV per atom
Calculated volume: 116 Å³/cell

a = 4.910 Å, b = 4.910 Å, c = 4.829 Å
α = 90.00°, β = 90.00°, γ = 90.00°
Positions (direct):
P 0.000 0.500 0.000
P 0.500 0.000 0.000
Te 0.500 0.500 0.500
Au 0.000 0.000 0.000
Cl 0.000 0.000 0.500

=====

Material: K4Cl3O2
Method: DFT, PBE
State: relaxed

Properties
Formation energy (no corrections): -1.54 eV/atom
DOS(E_F): 0.12 states/eV/atom
Total magnetization: 2.0 Bohr magnetons per cell
Theoretical density: 1876 kg/m³
Calculated volume: 522 Å³/cell

a = 8.530 Å, b = 8.181 Å, c = 8.560 Å
α = 118.55°, β = 95.22°, γ = 90.00°
Site moments in Bohr magnetons follow the coordinates.
Positions (direct):
K 0.470 0.725 0.904  0.00
K 0.030 0.820 0.096  0.00
K 0.530 0.275 0.096  0.00
K 0.970 0.180 0.904  0.00
K 0.832 0.690 0.446  0.00
K 0.668 0.243 0.554  0.00
K 0.168 0.310 0.554  0.00
K 0.332 0.757 0.446  0.00
Cl 0.115 0.760 0.736  0.00
Cl 0.385 0.024 0.264  0.00
Cl 0.885 0.240 0.264  0.00
Cl 0.615 0.976 0.736  0.00
Cl 0.750 0.532 0.000  0.00
Cl 0.250 0.468 0.000  0.00
O 0.560 0.507 0.457  0.40
O 0.940 0.050 0.543  0.40
O 0.440 0.493 0.543  0.40
O 0.060 0.950 0.457  0.40

=====

Material: Pr4CoSn
Method: DFT, PBE
State: relaxed

Properties
DOS(E_F): 1.22 states/eV/atom
Total magnetization: 0.0 Bohr magnetons per cell
Theoretical density: 6976 kg/m³
Energy of formation from the pure elements: -289 meV/atom
Calculated volume: 353 Å³/cell

a = 6.238 Å, b = 7.185 Å, c = 9.107 Å
α = 113.23°, β = 108.13°, γ = 90.00°
Positions (direct):
Pr 0.163 0.691 0.381
Pr 0.401 0.130 0.761
Pr 0.000 0.233 0.000
Pr 0.599 0.369 0.239
Pr 0.837 0.309 0.619
Pr 0.599 0.870 0.239
Pr 0.000 0.767 0.000
Pr 0.401 0.631 0.761
Co 0.314 0.510 0.020
Co 0.686 0.490 0.980
Sn 0.797 0.806 0.612
Sn 0.203 0.194 0.388

=====

Q: DOS(E_F) of number 2 (TeP2AuCl)?
A: 0.80 states/eV/atom

=====

Q: What is the theoretical density in the fourth record?
A: 6976 kg/m³